Record 1
A relaxed PmPr6Er12 crystal, computed with PBE.

a = 8.7444 Å, b = 8.7444 Å, c = 8.7444 Å
α = 98.66°, β = 98.66°, γ = 98.66°
Atoms (fractional coordinates):
Pm (0.0000, 0.0000, 0.0000)
Pr (0.0992, 0.0992, 0.6546)
Pr (0.0992, 0.6546, 0.0992)
Pr (0.3454, 0.9008, 0.9008)
Pr (0.6546, 0.0992, 0.0992)
Pr (0.9008, 0.3454, 0.9008)
Pr (0.9008, 0.9008, 0.3454)
Er (0.0806, 0.3558, 0.3558)
Er (0.2446, 0.5000, 0.7554)
Er (0.2446, 0.7554, 0.5000)
Er (0.3558, 0.0806, 0.3558)
Er (0.3558, 0.3558, 0.0806)
Er (0.5000, 0.2446, 0.7554)
Er (0.5000, 0.7554, 0.2446)
Er (0.6442, 0.6442, 0.9194)
Er (0.6442, 0.9194, 0.6442)
Er (0.7554, 0.2446, 0.5000)
Er (0.7554, 0.5000, 0.2446)
Er (0.9194, 0.6442, 0.6442)

The density of states at the Fermi level comes out at 31.0 states/eV per cell. Its crystal system is trigonal. The value obtained for the formation energy is 219 meV/atom. The calculation puts the offset from the most stable computed form at 0.0 kJ/mol of formula units. The space group is R-3m, No. 166.



Record 2
A relaxed Pm3Pr8Er4 crystal, computed with PBE.

a = 9.2924 Å, b = 9.2924 Å, c = 6.9214 Å
α = 110.45°, β = 110.45°, γ = 83.40°
Atoms (fractional coordinates):
Pm (0.0000, 0.0000, 0.0000)
Pm (0.0000, 0.5000, 0.5000)
Pm (0.5000, 0.0000, 0.5000)
Pr (0.2043, 0.2043, 0.6693)
Pr (0.2064, 0.7936, 0.5000)
Pr (0.2541, 0.7459, 0.0000)
Pr (0.2572, 0.2572, 0.1985)
Pr (0.7428, 0.7428, 0.8015)
Pr (0.7459, 0.2541, 0.0000)
Pr (0.7936, 0.2064, 0.5000)
Pr (0.7957, 0.7957, 0.3307)
Er (0.0000, 0.5000, 0.0000)
Er (0.5000, 0.0000, 0.0000)
Er (0.5000, 0.5000, 0.0000)
Er (0.5000, 0.5000, 0.5000)

The density of states at the Fermi level comes out at 22.9 states/eV per cell. Its crystal system is monoclinic. The value obtained for the formation energy is 322 meV/atom. The space group is C2/m, No. 12.



Record 3
A relaxed Pm2PrEr12 crystal, computed with PBE.

a = 6.5190 Å, b = 6.5191 Å, c = 24.8463 Å
α = 82.48°, β = 86.68°, γ = 64.18°
Atoms (fractional coordinates):
Pm (0.0029, 0.1324, 0.2303)
Pm (0.4970, 0.3678, 0.7697)
Pm (0.5030, 0.6322, 0.2303)
Pm (0.9971, 0.8676, 0.7697)
Pr (0.2330, 0.7331, 0.5000)
Pr (0.7670, 0.2669, 0.5000)
Er (0.0032, 0.5988, 0.2980)
Er (0.0026, 0.6650, 0.1647)
Er (0.2470, 0.0224, 0.9599)
Er (0.2470, 0.5517, 0.9031)
Er (0.2489, 0.6842, 0.6348)
Er (0.2501, 0.2113, 0.5759)
Er (0.2522, 0.4774, 0.0401)
Er (0.2532, 0.2856, 0.4242)
Er (0.2527, 0.8174, 0.3651)
Er (0.2535, 0.9485, 0.0968)
Er (0.4964, 0.9008, 0.7023)
Er (0.4975, 0.8351, 0.8352)
Er (0.5025, 0.1649, 0.1648)
Er (0.5036, 0.0992, 0.2977)
Er (0.7465, 0.0515, 0.9032)
Er (0.7473, 0.1826, 0.6349)
Er (0.7468, 0.7144, 0.5758)
Er (0.7478, 0.5226, 0.9599)
Er (0.7499, 0.7887, 0.4241)
Er (0.7511, 0.3158, 0.3652)
Er (0.7530, 0.4483, 0.0969)
Er (0.7530, 0.9776, 0.0401)
Er (0.9974, 0.3350, 0.8353)
Er (0.9968, 0.4012, 0.7020)

The density of states at the Fermi level comes out at 48.9 states/eV per cell. Its crystal system is triclinic. The value obtained for the formation energy is 59 meV/atom. The space group is P-1, No. 2.



Record 4
A relaxed Pm12Pr7Er crystal, computed with PBE.

a = 8.9337 Å, b = 8.9337 Å, c = 8.9337 Å
α = 87.30°, β = 87.30°, γ = 87.30°
Atoms (fractional coordinates):
Pm (0.0065, 0.8846, 0.3640)
Pm (0.1154, 0.6360, 0.9935)
Pm (0.2263, 0.3557, 0.7525)
Pm (0.2475, 0.7737, 0.6443)
Pm (0.3557, 0.7525, 0.2263)
Pm (0.3640, 0.0065, 0.8846)
Pm (0.6360, 0.9935, 0.1154)
Pm (0.6443, 0.2475, 0.7737)
Pm (0.7525, 0.2263, 0.3557)
Pm (0.7737, 0.6443, 0.2475)
Pm (0.8846, 0.3640, 0.0065)
Pm (0.9935, 0.1154, 0.6360)
Pr (0.0000, 0.0000, 0.0000)
Pr (0.1050, 0.4224, 0.3491)
Pr (0.3491, 0.1050, 0.4224)
Pr (0.4224, 0.3491, 0.1050)
Pr (0.5776, 0.6509, 0.8950)
Pr (0.6509, 0.8950, 0.5776)
Pr (0.8950, 0.5776, 0.6509)
Er (0.5000, 0.5000, 0.5000)

The density of states at the Fermi level comes out at 39.9 states/eV per cell. Its crystal system is trigonal. The value obtained for the formation energy is 216 meV/atom. The calculation puts the offset from the most stable computed form at 0.0 kJ/mol of formula units. The space group is R-3, No. 148.



Record 5
A relaxed Pm3Pr2Er4 crystal, computed with PBE.

a = 6.2118 Å, b = 6.2118 Å, c = 10.8144 Å
α = 106.37°, β = 106.37°, γ = 48.48°
Atoms (fractional coordinates):
Pm (0.0000, 0.0000, 0.0000)
Pm (0.3333, 0.3333, 0.4428)
Pm (0.6667, 0.6667, 0.5572)
Pr (0.3339, 0.3339, 0.7797)
Pr (0.6661, 0.6661, 0.2203)
Er (0.0002, 0.0002, 0.3343)
Er (0.9998, 0.9998, 0.6657)
Er (0.3338, 0.3338, 0.1114)
Er (0.6662, 0.6662, 0.8886)

The density of states at the Fermi level comes out at 11.7 states/eV per cell. Its crystal system is monoclinic. The value obtained for the formation energy is 19 meV/atom. The calculation puts the offset from the most stable computed form at 0.0 kJ/mol of formula units. The space group is C2/m, No. 12.



Record 6
A relaxed PmPr2Er4 crystal, computed with PBE.

a = 7.7646 Å, b = 7.7697 Å, c = 8.1485 Å
α = 90.00°, β = 90.10°, γ = 90.00°
Atoms (fractional coordinates):
Pm (0.0000, 0.0000, 0.0000)
Pm (0.0000, 0.0000, 0.5000)
Pr (0.0000, 0.5000, 0.0000)
Pr (0.5000, 0.0000, 0.0000)
Pr (0.5000, 0.5000, 0.0000)
Pr (0.5000, 0.5000, 0.5000)
Er (0.2491, 0.2482, 0.7194)
Er (0.2491, 0.7518, 0.7194)
Er (0.2502, 0.2472, 0.2807)
Er (0.2502, 0.7528, 0.2807)
Er (0.7498, 0.2472, 0.7193)
Er (0.7498, 0.7528, 0.7193)
Er (0.7509, 0.2482, 0.2806)
Er (0.7509, 0.7518, 0.2806)

The density of states at the Fermi level comes out at 24.0 states/eV per cell. Its crystal system is monoclinic. The value obtained for the formation energy is 317 meV/atom. The calculation puts the offset from the most stable computed form at 37.8 kJ/mol of formula units. The space group is P2/m, No. 10.



Record 7
A relaxed PmPr4Er2 crystal, computed with PBE.

a = 9.0941 Å, b = 9.0941 Å, c = 9.0941 Å
α = 135.18°, β = 100.93°, γ = 95.80°
Atoms (fractional coordinates):
Pm (0.5000, 0.0000, 0.0000)
Pm (0.5000, 0.5000, 0.5000)
Pr (0.1511, 0.1501, 0.0010)
Pr (0.2409, 0.2128, 0.4719)
Pr (0.2409, 0.7689, 0.0281)
Pr (0.3509, 0.8499, 0.5010)
Pr (0.6491, 0.1501, 0.4990)
Pr (0.7591, 0.2311, 0.9719)
Pr (0.7591, 0.7872, 0.5281)
Pr (0.8489, 0.8499, 0.9990)
Er (0.0000, 0.5000, 0.5000)
Er (0.0311, 0.2811, 0.7500)
Er (0.5000, 0.5000, 0.0000)
Er (0.9689, 0.7189, 0.2500)

The density of states at the Fermi level comes out at 22.4 states/eV per cell. Its crystal system is orthorhombic. The value obtained for the formation energy is 251 meV/atom. The calculation puts the offset from the most stable computed form at 126.4 kJ/mol of formula units. The space group is Imma, No. 74.



Record 8
A relaxed Pm12Pr6Er crystal, computed with PBE.

a = 10.0148 Å, b = 10.0148 Å, c = 10.0148 Å
α = 112.30°, β = 112.30°, γ = 112.30°
Atoms (fractional coordinates):
Pm (0.0000, 0.3785, 0.6215)
Pm (0.0000, 0.6215, 0.3785)
Pm (0.2351, 0.2351, 0.5943)
Pm (0.2351, 0.5943, 0.2351)
Pm (0.3785, 0.0000, 0.6215)
Pm (0.3785, 0.6215, 0.0000)
Pm (0.4057, 0.7649, 0.7649)
Pm (0.5943, 0.2351, 0.2351)
Pm (0.6215, 0.0000, 0.3785)
Pm (0.6215, 0.3785, 0.0000)
Pm (0.7649, 0.4057, 0.7649)
Pm (0.7649, 0.7649, 0.4057)
Pr (0.0236, 0.7678, 0.7678)
Pr (0.2322, 0.2322, 0.9764)
Pr (0.2322, 0.9764, 0.2322)
Pr (0.7678, 0.0236, 0.7678)
Pr (0.7678, 0.7678, 0.0236)
Pr (0.9764, 0.2322, 0.2322)
Er (0.5000, 0.5000, 0.5000)

The density of states at the Fermi level comes out at 32.0 states/eV per cell. Its crystal system is trigonal. The value obtained for the formation energy is 298 meV/atom. The calculation puts the offset from the most stable computed form at 308.0 kJ/mol of formula units. The space group is R-3m, No. 166.



Record 9
A relaxed Pm7Pr2Er crystal, computed with PBE.

a = 15.0987 Å, b = 15.0987 Å, c = 3.4981 Å
α = 90.00°, β = 90.00°, γ = 154.22°
Atoms (fractional coordinates):
Pm (0.0000, 0.0000, 0.0000)
Pm (0.1588, 0.3541, 0.0000)
Pm (0.3123, 0.6877, 0.5000)
Pm (0.3541, 0.1588, 0.0000)
Pm (0.6459, 0.8412, 0.0000)
Pm (0.6877, 0.3123, 0.5000)
Pm (0.8412, 0.6459, 0.0000)
Pr (0.2044, 0.7956, 0.0000)
Pr (0.7956, 0.2044, 0.0000)
Er (0.5000, 0.5000, 0.5000)

The density of states at the Fermi level comes out at 15.3 states/eV per cell. Its crystal system is orthorhombic. The value obtained for the formation energy is 147 meV/atom. The calculation puts the offset from the most stable computed form at 0.0 kJ/mol of formula units. The space group is Cmmm, No. 65.



no.,DFT total energy (hartree per atom)
1,-0.16252
2,-0.16147
3,-0.16698
4,-0.16667
5,-0.17106
6,-0.15928
7,-0.16400
8,-0.16361
9,-0.16871